1.
58
Lattice="-8.0359 -3.6182 -4.3984 -5.4711 -6.8017 4.5627 -8.9462 2.3397 3.3918" Properties=species:S:1:pos:R:3 comment="Na6Mn2B4SO16 (PBE with a Hubbard U, optimized geometry)" final_energy_ev_per_atom=-6.55 spacegroup=Fd-3 pbc="T T T"
O -17.1856 -4.9239 4.9126
O -16.2272 -7.3246 0.5507
O -4.2194 -1.5184 0.6683
O -10.7854 -6.5303 2.0181
O -9.2746 -2.6983 2.6959
O -9.6656 -2.6517 0.3327
O -12.3358 -3.2753 -0.3755
O -5.5064 -5.6144 3.6504
O -1.3939 -0.5016 0.2208
O -13.0306 -5.3624 0.5736
O -19.2759 -5.4708 3.0817
O -10.2232 -5.1010 3.8567
O -11.8159 -1.5695 1.8246
O -15.7307 -6.8250 4.8206
O -8.7907 -4.6295 1.3634
O -18.7919 -7.4020 1.7492
O -6.2149 -2.4169 -0.4239
O -15.5460 -4.5436 1.0925
O -10.8810 -5.1764 -0.4675
O -15.0360 -4.7379 3.8715
O -6.4409 -0.9374 1.5105
O -12.5205 -5.5567 3.3526
O -18.4009 -7.4486 4.1124
O -11.8394 -2.7757 3.8944
O -13.5568 -3.1547 2.2676
O -8.1186 1.2571 2.7703
O -16.2506 -8.5307 2.6205
O -17.8433 -4.9993 0.5884
O -14.5098 -6.9456 2.1775
O -7.4344 -3.2214 -3.0855
O -5.5780 -3.2074 1.8012
O -17.2812 -3.5700 2.4270
B -16.0064 -5.5103 4.4862
B -12.0601 -4.5900 -0.0411
B -18.7712 -6.7552 2.9729
B -16.8889 -4.4150 1.4031
B -12.3733 -2.5401 2.6391
B -9.2953 -3.3451 1.4722
B -15.6932 -7.5602 1.8060
B -11.1777 -5.6853 3.0420
Na -13.0270 -4.2782 5.2632
Na -8.1212 -0.8167 -0.3243
Na -7.9790 -5.5984 3.3493
Na -4.2230 -1.8362 -1.8023
Na -12.5134 -7.6400 0.8674
Na -7.0036 -2.2039 3.5803
Na -4.6197 0.7599 1.5922
Na -6.6070 -4.8000 0.1858
Na -14.4743 -2.4818 0.2068
Na -9.9399 -0.4402 2.6886
Na -9.4262 -3.8021 -1.7071
Na -3.1054 -3.2234 2.1024
S 0.0000 0.0000 0.0000
S -5.6133 -2.0201 0.8890
Mn -10.0153 -3.2410 4.4218
Mn -14.0333 -5.0501 2.2225
Mn -9.5602 -6.2200 0.5266
Mn -11.2977 -1.6493 -0.0588

2.
26
Lattice="-5.1433 1.1475 -0.8514 -1.8403 -5.9117 3.1500 -0.1896 4.3295 8.0146" Properties=species:S:1:pos:R:3 comment="Na3MnBSO7 (PBE with a Hubbard U, optimized geometry)" final_energy_ev_per_atom=-6.25 spacegroup=P2_1/m pbc="T T T"
O -3.3356 1.8727 5.3957
O -2.4136 2.9710 7.9957
O -4.6182 1.2213 3.4239
O -5.3004 -0.1684 0.4173
O -1.5545 -2.9311 5.0807
O -5.5049 -1.0407 8.9672
O -2.3042 -1.4366 2.4342
O -1.6683 0.6059 1.3459
O -4.8690 1.0018 7.8789
O -1.8728 -0.2664 9.8958
O -5.6187 2.4964 5.2324
O -2.5550 -1.6561 6.8892
O -4.7596 -3.4058 2.3174
O -3.8376 -2.3074 4.9173
Mn -4.4160 2.9993 6.8788
Mn -2.7572 -3.4340 3.4343
S -1.5939 -0.8800 1.2471
S -5.5793 0.4453 9.0659
Na -2.3845 0.5693 7.1811
Na -1.5014 3.4061 5.6695
Na -5.3677 -1.1247 6.2431
Na -1.8055 0.6899 4.0700
Na -4.7887 -1.0041 3.1320
Na -5.6718 -3.8409 4.6436
B -4.5187 1.8371 4.6377
B -2.6545 -2.2718 5.6754

3.
24
Lattice="7.0110 0.0000 0.0000 0.0000 5.3157 0.1014 0.0000 0.4939 9.2114" Properties=species:S:1:pos:R:3 comment="Na2MnBSO7 (PBE with a Hubbard U, optimized geometry)" final_energy_ev_per_atom=-6.44 spacegroup=P2_1/m pbc="T T T"
O 4.0483 1.2908 6.0774
O 5.2583 3.0980 4.9778
O 2.9627 4.5189 3.2354
O 1.7528 0.6668 7.7700
O 1.7528 1.6369 0.5191
O 1.7528 2.9079 7.4113
O 1.7528 2.7116 4.3350
O 5.2583 0.8692 3.9964
O 5.2583 2.9017 1.9015
O 0.5428 4.5189 3.2354
O 6.4682 1.2908 6.0774
O 1.7528 4.9405 5.3164
O 5.2583 5.1429 1.5429
O 5.2583 4.1727 8.7937
Na 0.0265 4.4729 7.4870
Na 3.5320 1.3368 1.8258
Na 3.4790 4.4729 7.4870
Na 6.9846 1.3368 1.8258
B 5.2583 3.8940 0.8830
B 1.7528 1.9157 8.4298
S 5.2583 1.6190 5.2950
S 1.7528 4.1907 4.0178
Mn 5.2583 4.2594 3.2823
Mn 1.7528 1.5503 6.0305